Compound: Sc3TiP4
Source: Alexandria
Functional: PBE
Structure: optimized geometry

Output
The calculation puts the density of states at the Fermi level at 1.5 states/eV/cell. The volume comes out at 142.2 Å³/cell. The calculation puts the calculated formation energy at -1388.8 meV/atom.

Lattice parameters (Å, degrees): 3.6907 6.3884 6.3884 109.31 90.00 90.00
Fractional positions:
Sc  0.0000  0.0000  0.5000
Sc  0.5000  0.5000  0.5000
Sc  0.0000  0.5000  0.0000
Ti  0.5000  0.0000  0.0000
P  0.0000  0.2398  0.2398
P  0.5000  0.7554  0.2446
P  0.0000  0.7602  0.7602
P  0.5000  0.2446  0.7554

Compound: AcTmGa
Source: Alexandria
Functional: PBE
Structure: optimized geometry

Output
The calculation puts the density of states at the Fermi level at 1.7 states/eV/cell. Its energy relative to the lowest polymorph listed for this composition is 26 kJ/mol of formula units. The volume comes out at 90.4 Å³/cell. The calculation puts the calculated formation energy at -286.7 meV/atom.

Lattice parameters (Å, degrees): 3.6830 3.6830 7.1548 104.91 104.91 90.00
Fractional positions:
Ac  0.0159  0.0159  0.0318
Tm  0.3013  0.3013  0.6026
Ga  0.6828  0.6828  0.3656